Record 1
Entry from Alexandria: a geometry-optimized LiThTlPb structure (PBE).

Output
Symmetry   Pmmm
Total energy   -0.29898 Ry per atom
Excess energy over the best structure of this formula in the dataset   0 meV/atom

Cell lengths 4.5509, 4.8131, 4.9163 Å; angles 90.00, 90.00, 90.00 degrees
Fractional positions:
Li1 0.0000 0.0000 0.0000
Th1 0.0000 0.5000 0.5000
Tl1 0.5000 0.5000 0.0000
Pb1 0.5000 0.0000 0.5000



Record 2
Entry from Alexandria: a geometry-optimized Li2Tm2ThPb2 structure (PBE).

Output
Symmetry   R-3m
Total energy   -0.30543 Ry per atom

Cell lengths 4.8805, 4.8805, 9.2432 Å; angles 74.69, 74.69, 60.00 degrees
Fractional positions:
Li1 0.5862 0.5862 0.2415
Li2 0.4138 0.4138 0.7585
Tm1 0.1303 0.1303 0.6092
Tm2 0.8697 0.8697 0.3908
Th1 0.0000 0.0000 0.0000
Pb1 0.7390 0.7390 0.7831
Pb2 0.2610 0.2610 0.2169



Record 3
Entry from Alexandria: a geometry-optimized LiThZnPb structure (PBE).

Output
Symmetry   F-43m
Total energy   -0.27298 Ry per atom

Cell lengths 5.1895, 5.1895, 5.1895 Å; angles 60.00, 60.00, 60.00 degrees
Fractional positions:
Pb1 0.2500 0.2500 0.2500
Zn1 0.7500 0.7500 0.7500
Th1 0.0000 0.0000 0.0000
Li1 0.5000 0.5000 0.5000



> total energy of number 3 (LiThZnPb)?

-0.27298 Ry per atom